Here is a relaxed SrTc2Ir crystal from the Alexandria database. Energies are from PBE.

Summary:
* distance to the lowest polymorph of the same formula: 99.4 meV per atom
* energy: -29.36 eV per formula unit
* SG: Cm
* DFT formation energy: 46 kJ per mole of atoms

abc: 4.680 4.680 6.328
angles: 81.20 81.20 36.58
Atoms (fractional coordinates):
Tc (0.753, 0.753, 0.775)
Tc (0.023, 0.023, 0.890)
Sr (0.244, 0.244, 0.265)
Ir (0.481, 0.481, 0.571)

Here is a relaxed Ac2TaPdS6 crystal from the Alexandria database. Energies are from PBE.

Summary:
* formation energy without anion corrections: -1256 meV/atom
* energy: -62.59 eV per formula unit
* SG: Pmmn

abc: 6.695 7.508 9.450
angles: 90.00 90.00 90.00
Atoms (fractional coordinates):
S (0.000, 0.792, 0.249)
S (0.275, 0.542, 0.000)
S (0.500, 0.208, 0.251)
S (0.740, 0.989, 0.500)
S (0.260, 0.989, 0.500)
S (0.775, 0.458, 0.500)
S (0.000, 0.792, 0.751)
S (0.760, 0.011, 0.000)
S (0.240, 0.011, 0.000)
S (0.500, 0.208, 0.749)
S (0.725, 0.542, 0.000)
S (0.225, 0.458, 0.500)
Pd (0.500, 0.271, 0.000)
Pd (0.000, 0.729, 0.500)
Ta (0.000, 0.726, 0.000)
Ta (0.500, 0.274, 0.500)
Ac (0.500, 0.818, 0.770)
Ac (0.500, 0.818, 0.230)
Ac (0.000, 0.182, 0.270)
Ac (0.000, 0.182, 0.730)